# 1
12
Lattice="1.9858 -6.7109 0.0000 1.9858 6.7109 0.0000 0.0000 0.0000 10.4361" Properties=species:S:1:pos:R:3 comment="PBE PrErCuSe3, relaxed" space_group="Cmcm (63)" magnetic_moment_mub_per_cell=0.02 energy_ev_per_cell=-64.01 pbc="T T T"
Pr 1.9858 -3.5549 7.8271
Pr 1.9858 3.5549 2.6090
Er 0.0000 0.0000 5.2181
Er 0.0000 0.0000 0.0000
Se 1.9858 5.5347 7.8271
Se 1.9858 1.9177 9.7406
Se 1.9858 -1.9177 4.5225
Se 1.9858 -5.5347 2.6090
Se 1.9858 1.9177 5.9136
Se 1.9858 -1.9177 0.6956
Cu 1.9858 -0.3622 2.6090
Cu 1.9858 0.3622 7.8271

---

# 2
6
Lattice="-1.9595 1.1240 3.5102 -2.0143 -2.2407 -2.8890 2.3667 -6.5247 3.4103" Properties=species:S:1:pos:R:3 comment="PBE PrErCu2Si2, relaxed" space_group="P-3m1 (164)" magnetic_moment_mub_per_cell=0.00 energy_ev_per_cell=-31.47 pbc="T T T"
Cu -0.2411 -4.7855 3.8797
Cu -1.3661 -2.8559 0.1518
Si -1.3472 -1.7362 2.2859
Si -0.2601 -5.9052 1.7456
Pr 0.0000 0.0000 0.0000
Er 1.1833 -3.2623 1.7052

---

# 3
6
Lattice="4.5633 0.0000 0.0000 -2.2817 3.9519 0.0000 0.0000 0.0000 7.3852" Properties=species:S:1:pos:R:3 comment="PBE PrErCu2Sn2, relaxed" space_group="P3m1 (156)" magnetic_moment_mub_per_cell=0.01 energy_ev_per_cell=-28.30 pbc="T T T"
Er 0.0000 0.0000 1.7418
Cu 2.2817 1.3173 3.9251
Cu 0.0000 2.6346 0.4533
Pr 0.0000 0.0000 5.4439
Sn 0.0000 2.6346 3.3720
Sn 2.2817 1.3173 7.2196

---

# 4
11
Lattice="3.3581 -4.9307 6.1358 2.4025 3.1651 7.5793 -6.1933 -1.3389 -5.7520" Properties=species:S:1:pos:R:3 comment="PBE Pr2ErCu4Sn4, relaxed" space_group="Immm (71)" magnetic_moment_mub_per_cell=0.00 energy_ev_per_cell=-50.76 pbc="T T T"
Cu -3.4045 0.0451 -1.3496
Cu -1.4432 -0.5560 3.3200
Cu 1.0104 -2.5485 4.6431
Cu 2.9717 -3.1496 9.3127
Pr 0.2242 0.2634 5.9602
Pr -0.6570 -3.3679 2.0028
Sn 2.2893 -2.1896 6.9375
Sn 4.5325 -1.3892 10.7913
Sn -2.7221 -0.9149 1.0255
Sn 1.2280 -0.3764 2.9238
Er 0.0000 0.0000 0.0000

---

# 5
12
Lattice="2.5302 1.4608 8.3161 -2.5302 1.4608 8.3161 0.0000 -2.9216 8.3161" Properties=species:S:1:pos:R:3 comment="PBE ErPu2Cu9, relaxed" delta_e_f_mev_per_atom=-134 space_group="R-3m (166)" magnetic_moment_mub_per_cell=11.56 energy_ev_per_cell=-67.87 pbc="T T T"
Cu 0.0000 0.0000 12.4742
Cu 0.0000 1.4468 10.3235
Cu -1.2530 -0.7234 10.3235
Cu 0.0000 0.0000 8.2785
Cu 0.0000 -1.4468 14.6248
Cu 1.2530 -0.7234 10.3235
Cu 0.0000 0.0000 16.6698
Cu 1.2530 0.7234 14.6248
Cu -1.2530 0.7234 14.6248
Pu 0.0000 0.0000 3.6634
Pu 0.0000 0.0000 21.2849
Er 0.0000 0.0000 0.0000

---

# 6
3
Lattice="3.2622 3.0528 2.7101 -1.8367 4.1830 2.5366 -0.1730 0.0208 5.2226" Properties=species:S:1:pos:R:3 comment="PBE RbErCu, relaxed" space_group="F-43m (216)" magnetic_moment_mub_per_cell=0.01 energy_ev_per_cell=-7.06 pbc="T T T"
Rb 0.9393 5.4425 7.8520
Cu 0.0000 0.0000 0.0000
Er 0.3131 1.8142 2.6173

---

# 7
16
Lattice="1.9759 -6.8335 0.0000 1.9759 6.8335 0.0000 0.0000 0.0000 13.6930" Properties=species:S:1:pos:R:3 comment="PBE RbEr2CuS4, relaxed" space_group="Cmcm (63)" magnetic_moment_mub_per_cell=0.00 energy_ev_per_cell=-87.00 pbc="T T T"
Rb 1.9759 -1.4803 10.2697
Rb 1.9759 1.4803 3.4232
Er 1.9759 5.0038 0.8534
Er 1.9759 5.0038 5.9931
Er 1.9759 -5.0038 12.8396
Er 1.9759 -5.0038 7.6999
S 1.9759 0.0000 0.0000
S 1.9759 3.5414 8.3161
S 1.9759 5.8169 3.4232
S 1.9759 0.0000 6.8465
S 1.9759 -3.5414 1.4696
S 1.9759 3.5414 12.2233
S 1.9759 -3.5414 5.3769
S 1.9759 -5.8169 10.2697
Cu 1.9759 -2.2540 3.4232
Cu 1.9759 2.2540 10.2697

---

# 8
22
Lattice="3.9246 0.0000 0.0000 1.9623 6.9569 0.0000 0.0000 0.0000 16.3925" Properties=species:S:1:pos:R:3 comment="PBE RbEr2Cu3S5, relaxed" space_group="Cmcm (63)" magnetic_moment_mub_per_cell=0.00 energy_ev_per_cell=-111.26 pbc="T T T"
S 1.9623 2.3411 9.3316
S 3.9246 3.6245 12.2944
S 3.9246 0.8641 1.8785
S 1.9623 3.3324 4.0981
S 1.9623 6.0928 10.0747
S 1.9623 6.0928 14.5140
S 3.9246 4.6158 1.1354
S 1.9623 2.3411 15.2571
S 3.9246 0.8641 6.3178
S 3.9246 4.6158 7.0609
Rb 3.9246 6.0410 4.0981
Rb 1.9623 0.9159 12.2944
Cu 1.9623 4.8275 12.2944
Cu 1.9623 5.8035 7.5565
Cu 3.9246 2.1294 4.0981
Cu 1.9623 5.8035 0.6397
Cu 3.9246 1.1534 8.8360
Cu 3.9246 1.1534 15.7528
Er 1.9623 2.6731 1.5295
Er 3.9246 4.2838 9.7257
Er 3.9246 4.2838 14.8630
Er 1.9623 2.6731 6.6668

---

# 9
16
Lattice="2.0353 -7.0654 0.0000 2.0353 7.0654 0.0000 0.0000 0.0000 14.1390" Properties=species:S:1:pos:R:3 comment="PBE RbEr2CuSe3S, relaxed" space_group="Cmcm (63)" magnetic_moment_mub_per_cell=0.00 energy_ev_per_cell=-81.26 pbc="T T T"
Rb 2.0353 5.6140 3.5347
Rb 2.0353 -5.6140 10.6042
Se 0.0000 0.0000 7.0695
Se 2.0353 -3.3377 5.5244
Se 2.0353 3.3377 8.6146
Se 2.0353 -3.3377 1.5451
Se 2.0353 3.3377 12.5939
Se 0.0000 0.0000 0.0000
Cu 2.0353 4.8015 10.6042
Cu 2.0353 -4.8015 3.5347
Er 2.0353 1.8892 0.9651
Er 2.0353 -1.8892 8.0345
Er 2.0353 1.8892 6.1044
Er 2.0353 -1.8892 13.1739
S 2.0353 1.0822 3.5347
S 2.0353 -1.0822 10.6042

---

# 10
22
Lattice="1.2431 7.1320 -0.0377 -4.2463 -5.5204 -1.9764 -8.6151 1.5761 14.1071" Properties=species:S:1:pos:R:3 comment="PBE RbEr2Cu3SeS4, relaxed" space_group="Cmcm (63)" magnetic_moment_mub_per_cell=0.00 energy_ev_per_cell=-109.12 pbc="T T T"
Cu -1.7198 5.6612 3.2033
Cu -4.1070 -4.3953 -1.2839
Cu -7.5113 7.5830 13.3768
Cu -9.8986 -2.4735 8.8896
Cu -7.7682 -3.7255 4.7112
Cu -3.8502 6.9132 7.3818
S -2.4319 6.9633 5.3070
S -4.2847 3.6191 5.3939
S -0.0656 6.5304 1.4324
S -11.5527 -3.3427 10.6606
S -7.3336 -0.4314 6.6991
S -1.1737 3.0499 0.2997
S -9.1865 -3.7756 6.7860
S -10.4446 0.1378 11.7933
Rb -3.3229 1.9662 2.6372
Rb -8.2955 1.2215 9.4558
Se -4.9982 -1.8953 2.0454
Se -6.6201 5.0830 10.0475
Er -8.2974 4.6452 12.1983
Er -6.0770 -0.9533 4.4076
Er -5.5414 4.1410 7.6854
Er -3.3209 -1.4575 -0.1053

---

# 11
22
Lattice="2.6407 1.0339 -6.9910 -3.2202 2.9060 6.1727 15.1785 3.5315 6.2556" Properties=species:S:1:pos:R:3 comment="PBE RbEr2Cu3Se4S, relaxed" space_group="Cmcm (63)" magnetic_moment_mub_per_cell=0.00 energy_ev_per_cell=-103.98 pbc="T T T"
S 1.9644 3.3449 4.6149
S 12.6347 4.1265 0.8225
Cu -0.3437 2.2320 0.8910
Cu 10.1484 4.9207 6.4068
Cu 4.4507 2.5507 -0.9695
Cu 6.3585 3.7914 3.6532
Cu 8.2405 3.6800 1.7841
Cu 14.9427 5.2394 4.5463
Rb 6.0423 2.0423 -4.5443
Rb 8.5568 5.4291 9.9816
Se 8.1575 2.8611 -2.0997
Se 1.8454 2.2757 -0.4488
Se 8.7427 4.2625 4.2331
Se 6.4415 4.6103 7.5370
Se 5.8563 3.2089 1.2043
Se 11.8554 5.8699 9.7683
Se 12.7536 5.1957 5.8861
Se 2.7436 1.6015 -4.3309
Er 4.0452 3.9744 6.1722
Er 15.2420 4.5878 1.1973
Er -0.6430 2.8836 4.2400
Er 10.5538 3.4970 -0.7349

---

# 12
16
Lattice="2.1049 -7.3842 0.0000 2.1049 7.3842 0.0000 0.0000 0.0000 15.3594" Properties=species:S:1:pos:R:3 comment="PBE RbEr2CuTe3S, relaxed" de_polymorph_ev_per_atom=0.0491 space_group="Cmcm (63)" magnetic_moment_mub_per_cell=0.00 energy_ev_per_cell=-73.58 pbc="T T T"
S 0.0000 0.0000 7.6797
S 0.0000 0.0000 0.0000
Te 2.1050 3.5904 9.2993
Te 2.1050 3.5904 13.7398
Te 2.1050 -3.5904 6.0601
Te 2.1049 0.8502 3.8398
Te 2.1050 -3.5904 1.6196
Te 2.1049 -0.8502 11.5195
Er 2.1050 1.7341 6.7568
Er 2.1050 -1.7341 8.6025
Er 2.1050 1.7341 0.9229
Er 2.1050 -1.7341 14.4365
Rb 2.1050 5.5306 3.8398
Rb 2.1050 -5.5306 11.5195
Cu 2.1050 -5.0132 3.8398
Cu 2.1050 5.0132 11.5195